Entry from the Alexandria database: crystalline USnH at its relaxed geometry (PBE-GGA).

Cell and atoms, written as POSCAR:
```
USnH
1.0
3.123 0.000 0.000
0.000 3.123 0.000
-1.561 -1.561 5.767
H U Sn
1 1 1
direct
0.278 0.278 0.555
0.722 0.722 0.444
0.001 0.001 0.001
```

Calculated values
Theoretical density ... 10.6 Mg/m³
Space group ... I4mm, No. 107
E above lowest polymorph ... 176 meV/atom



Entry from the Alexandria database: crystalline USnH at its relaxed geometry (PBE-GGA).

Cell and atoms, written as POSCAR:
```
USnH
1.0
4.952 -2.599 -1.044
0.074 5.755 2.711
-0.323 3.257 5.187
H U Sn
2 2 2
direct
0.891 0.057 0.076
0.286 0.342 0.571
0.674 0.464 0.472
0.063 0.816 0.094
0.672 0.129 0.273
0.231 0.668 0.786
```

Calculated values
Theoretical density ... 11.3 Mg/m³
Space group ... P1, No. 1
E above lowest polymorph ... 53 meV/atom



Entry from the Alexandria database: crystalline U2SnH3 at its relaxed geometry (PBE-GGA).

Cell and atoms, written as POSCAR:
```
U2SnH3
1.0
3.798 0.000 1.046
0.895 6.351 4.168
-0.056 0.513 7.625
U Sn H
4 2 6
direct
0.500 0.192 0.808
0.500 0.808 0.192
0.848 0.652 0.653
0.152 0.348 0.347
0.843 0.157 0.158
0.157 0.843 0.842
0.358 0.494 0.790
0.000 0.348 0.652
0.642 0.211 0.505
0.358 0.789 0.495
0.000 0.652 0.348
0.642 0.506 0.210
```

Calculated values
Theoretical density ... 11.2 Mg/m³
Space group ... C2/m, No. 12
Total energy ... -6.22 eV per atom



Entry from the Alexandria database: crystalline USnH at its relaxed geometry (PBE-GGA).

Cell and atoms, written as POSCAR:
```
USnH
1.0
3.929 0.000 -1.189
0.000 4.342 0.000
-0.213 -0.001 6.419
U Sn H
2 2 2
direct
0.282 0.115 0.027
0.948 0.615 0.359
0.688 0.615 0.841
0.542 0.115 0.545
0.363 0.615 0.189
0.867 0.115 0.196
```

Calculated values
Theoretical density ... 11.0 Mg/m³
Space group ... P2_1/m, No. 11
E above lowest polymorph ... 0 meV/atom



Q: Which formula does entry 3 have?
A: U2SnH3